Entry 1:
This record from Alexandria via LeMat-Bulk describes an optimized crystal structure of CuBiPd3. The functional is PBEsol.

a = 4.5519 Å, b = 4.5519 Å, c = 4.5519 Å
α = 90.00°, β = 90.00°, γ = 90.00°
Closest atoms and distances in Å follow each position.
Positions (direct):
Cu 0.0000 0.0000 0.0000  6 Pd 2.28
Bi 0.5000 0.5000 0.5000  12 Pd 3.22
Pd 0.0000 0.0000 0.5000  2 Cu 2.28
Pd 0.0000 0.5000 0.0000  2 Cu 2.28
Pd 0.5000 0.0000 0.0000  2 Cu 2.28

Computed properties:
DFT formation energy = 0.45 eV/atom
space-group type = Pm-3m, No. 221
DOS at the Fermi energy = 1.242 states/eV/atom

=====

Entry 2:
This record from Alexandria via LeMat-Bulk describes an optimized crystal structure of CuSnBiPd2. The functional is PBEsol.

a = 5.0403 Å, b = 5.0403 Å, c = 4.7765 Å
α = 90.00°, β = 90.00°, γ = 90.00°
Closest atoms and distances in Å follow each position.
Positions (direct):
Cu 0.0000 0.0000 0.0000  2 Bi 2.39
Sn 0.5000 0.5000 0.0000  8 Pd 3.47, 4 Cu 3.56
Bi 0.0000 0.0000 0.5000  2 Cu 2.39, 4 Pd 2.52
Pd 0.0000 0.5000 0.5000  2 Bi 2.52
Pd 0.5000 0.0000 0.5000  2 Bi 2.52

Computed properties:
DFT formation energy = 0.62 eV/atom
space-group type = P4/mmm, No. 123
DOS at the Fermi energy = 0.304 states/eV/atom